[1]
First-principles (PBE-GGA) data for a relaxed structure of MoH, as listed in the Alexandria database.

The structure in CIF format:
```
data_MoH
_chemical_formula_sum 'Mo4 H4'
_space_group_name_H-M_alt 'P 1'
_space_group_IT_number 1
_cell_length_a 5.759
_cell_length_b 5.759
_cell_length_c 5.759
_cell_angle_alpha 93.79
_cell_angle_beta 93.79
_cell_angle_gamma 150.22
loop_
_space_group_symop_operation_xyz
'x,y,z'
loop_
_atom_site_label
_atom_site_type_symbol
_atom_site_fract_x
_atom_site_fract_y
_atom_site_fract_z
Mo1 Mo 0.134 0.658 0.792
Mo2 Mo 0.342 0.134 0.476
Mo3 Mo 0.658 0.866 0.524
Mo4 Mo 0.866 0.342 0.208
H1 H 0.088 0.221 0.309
H2 H 0.221 0.912 0.132
H3 H 0.779 0.088 0.868
H4 H 0.912 0.779 0.691
```

=====

[2]
First-principles (PBE-GGA) data for a relaxed structure of MoH, as listed in the Alexandria database.

The structure in CIF format:
```
data_MoH
_chemical_formula_sum 'Mo6 H6'
_space_group_name_H-M_alt 'P 1'
_space_group_IT_number 1
_cell_length_a 5.152
_cell_length_b 5.152
_cell_length_c 5.152
_cell_angle_alpha 90.00
_cell_angle_beta 90.00
_cell_angle_gamma 90.00
loop_
_space_group_symop_operation_xyz
'x,y,z'
loop_
_atom_site_label
_atom_site_type_symbol
_atom_site_fract_x
_atom_site_fract_y
_atom_site_fract_z
Mo1 Mo 0.000 0.250 0.500
Mo2 Mo 0.000 0.750 0.500
Mo3 Mo 0.250 0.500 0.000
Mo4 Mo 0.500 0.000 0.250
Mo5 Mo 0.500 0.000 0.750
Mo6 Mo 0.750 0.500 0.000
H1 H 0.000 0.500 0.250
H2 H 0.000 0.500 0.750
H3 H 0.250 0.000 0.500
H4 H 0.500 0.250 0.000
H5 H 0.500 0.750 0.000
H6 H 0.750 0.000 0.500
```

=====

[3]
First-principles (PBE-GGA) data for a relaxed structure of MoH, as listed in the Alexandria database.

The structure in CIF format:
```
data_MoH
_chemical_formula_sum 'Mo8 H8'
_space_group_name_H-M_alt 'P 1'
_space_group_IT_number 1
_cell_length_a 4.845
_cell_length_b 5.125
_cell_length_c 5.899
_cell_angle_alpha 90.00
_cell_angle_beta 90.00
_cell_angle_gamma 90.00
loop_
_space_group_symop_operation_xyz
'x,y,z'
loop_
_atom_site_label
_atom_site_type_symbol
_atom_site_fract_x
_atom_site_fract_y
_atom_site_fract_z
Mo1 Mo 0.007 0.184 0.383
Mo2 Mo 0.015 0.162 0.867
Mo3 Mo 0.485 0.838 0.367
Mo4 Mo 0.493 0.816 0.883
Mo5 Mo 0.507 0.316 0.617
Mo6 Mo 0.515 0.338 0.133
Mo7 Mo 0.985 0.662 0.633
Mo8 Mo 0.993 0.684 0.117
H1 H 0.138 0.355 0.121
H2 H 0.241 0.016 0.621
H3 H 0.259 0.984 0.121
H4 H 0.362 0.645 0.621
H5 H 0.638 0.145 0.879
H6 H 0.741 0.484 0.379
H7 H 0.759 0.516 0.879
H8 H 0.862 0.855 0.379
```

=====

| no. | ΔE to the lowest computed polymorph (eV/f.u.) | final energy (eV for the cell shown) |
| --- | --- | --- |
| 1 | 0.507 | -54.55 |
| 2 | 1.011 | -78.80 |
| 3 | 0.126 | -112.15 |